Material: CeMnNi
Method: DFT, GGA-PBE
State: relaxed

abc: 3.0505 3.0505 5.9737
angles: 104.79 104.79 90.00
Last column: nearest neighbours and their distance in Å.
Sites, in units of the cell vectors:
Mn1 0.9199 0.9199 0.8399  4 Ni 2.50
Ni1 0.3068 0.3068 0.6136  4 Mn 2.50
Ce1 0.6233 0.6233 0.2465  4 Ni 2.97, 4 Ce 3.05, 5 Mn 3.13-3.31

Output
Total magnetization   3.223 μB per cell
Excess energy over the best structure of this formula in the dataset   0.17 eV per formula unit
DFT formation energy   41 meV/atom

***

Material: Ce4Zn5Pt6
Method: DFT, GGA-PBE
State: relaxed

abc: 4.0326 10.3438 15.1289
angles: 90.00 90.00 101.24
Last column: nearest neighbours and their distance in Å.
Sites, in units of the cell vectors:
Pt1 0.7590 0.5179 0.2609  4 Zn 2.58-2.59
Pt2 0.4183 0.8366 0.4124  1 Zn 2.71, 1 Pt 2.91, 4 Ce 2.98-3.03
Pt3 0.2176 0.4352 0.4827  4 Zn 2.55-2.64
Pt4 0.4451 0.8903 0.8541  2 Zn 2.59-2.70
Pt5 0.2410 0.4821 0.7609  4 Zn 2.58-2.59
Pt6 0.8845 0.7689 0.6095  4 Zn 2.56-2.59
Pt7 0.1155 0.2311 0.1095  4 Zn 2.56-2.59
Pt8 0.4268 0.8537 0.1347  5 Zn 2.65-2.72
Pt9 0.7824 0.5648 0.9827  4 Zn 2.55-2.64
Pt10 0.5732 0.1463 0.6347  5 Zn 2.65-2.72
Pt11 0.5817 0.1634 0.9124  1 Zn 2.71, 1 Pt 2.91, 4 Ce 2.98-3.03
Pt12 0.5549 0.1097 0.3541  2 Zn 2.59-2.70
Zn1 0.4444 0.8888 0.6755  4 Pt 2.56-2.70
Zn2 0.5556 0.1112 0.1755  4 Pt 2.56-2.70
Zn3 0.3041 0.6082 0.6127  4 Pt 2.58-2.64
Zn4 0.3379 0.6758 0.2692  4 Pt 2.58-2.72
Zn5 0.6959 0.3918 0.1127  4 Pt 2.58-2.64
Zn6 0.6621 0.3242 0.7692  4 Pt 2.58-2.72
Zn7 0.3616 0.7232 0.9833  4 Pt 2.58-2.65
Zn8 0.8421 0.6841 0.1307  4 Pt 2.55-2.65
Zn9 0.1579 0.3159 0.6307  4 Pt 2.55-2.65
Zn10 0.6384 0.2768 0.4833  4 Pt 2.58-2.65
Ce1 0.1880 0.3760 0.9394  6 Pt 2.86-2.98
Ce2 0.8120 0.6240 0.4394  6 Pt 2.86-2.98
Ce3 0.8423 0.6846 0.8010  6 Pt 2.94-3.02
Ce4 0.9906 0.9813 0.0145  5 Pt 2.91-3.14
Ce5 0.1577 0.3154 0.3010  6 Pt 2.94-3.02
Ce6 0.0380 0.0760 0.7748  6 Pt 3.01-3.03, 5 Zn 3.15-3.27
Ce7 0.0094 0.0187 0.5145  5 Pt 2.91-3.14
Ce8 0.9620 0.9240 0.2748  6 Pt 3.01-3.03, 5 Zn 3.15-3.27

Output
Total magnetization   4.354 μB per cell
DFT formation energy   -788 meV/atom

***

Material: ZrMo2C
Method: DFT, GGA-PBE
State: relaxed

abc: 3.6226 3.4233 4.9792
angles: 90.00 90.00 90.00
Last column: nearest neighbours and their distance in Å.
Sites, in units of the cell vectors:
C1 0.0000 0.5000 0.5000  4 Zr 2.49
Zr1 0.5000 0.0000 0.5000  4 C 2.49
Mo1 0.0000 0.0000 0.0000  4 Mo 2.49
Mo2 0.5000 0.5000 0.0000  4 Mo 2.49

Output
Total magnetization   0.000 μB per cell
DFT formation energy   670 meV/atom

***

Material: HfPaTiCr
Method: DFT, GGA-PBE
State: relaxed

abc: 4.7224 4.7224 4.7224
angles: 60.00 60.00 60.00
Last column: nearest neighbours and their distance in Å.
Sites, in units of the cell vectors:
Cr1 0.5000 0.5000 0.5000  4 Hf 2.89, 4 Pa 2.89
Hf1 0.7500 0.7500 0.7500  4 Ti 2.89, 4 Cr 2.89
Ti1 0.0000 0.0000 0.0000  4 Pa 2.89, 4 Hf 2.89
Pa1 0.2500 0.2500 0.2500  4 Cr 2.89, 4 Ti 2.89

Output
Total magnetization   0.000 μB per cell
DFT formation energy   137 meV/atom

***

Material: Zr3Ti4Zn4
Method: DFT, GGA-PBE
State: relaxed

abc: 6.5929 6.5929 6.5929
angles: 109.47 109.47 109.47
Last column: nearest neighbours and their distance in Å.
Sites, in units of the cell vectors:
Ti1 0.7514 0.7514 0.7514  4 Zn 2.38-2.55
Ti2 0.2486 0.0000 0.0000  4 Zn 2.38-2.55
Ti3 0.0000 0.2486 0.0000  4 Zn 2.38-2.55
Ti4 0.0000 0.0000 0.2486  4 Zn 2.38-2.55
Zr1 0.5000 0.5000 0.0000  4 Zn 3.13, 4 Ti 3.16
Zr2 0.0000 0.5000 0.5000  4 Zn 3.13, 4 Ti 3.16
Zr3 0.5000 0.0000 0.5000  4 Zn 3.13, 4 Ti 3.16
Zn1 0.0000 0.6103 0.0000  4 Ti 2.38-2.55
Zn2 0.0000 0.0000 0.6103  4 Ti 2.38-2.55
Zn3 0.3897 0.3897 0.3897  4 Ti 2.38-2.55
Zn4 0.6103 0.0000 0.0000  4 Ti 2.38-2.55

Output
Total magnetization   0.004 μB per cell
DFT formation energy   277 meV/atom

***

Material: Pr2PtRh
Method: DFT, GGA-PBE
State: relaxed

abc: 3.6012 3.6012 7.2132
angles: 90.00 90.00 90.00
Last column: nearest neighbours and their distance in Å.
Sites, in units of the cell vectors:
Pr1 0.0000 0.0000 0.2454  4 Rh 3.10, 4 Pt 3.14
Pr2 0.0000 0.0000 0.7546  4 Rh 3.10, 4 Pt 3.14
Pt1 0.5000 0.5000 0.5000  8 Pr 3.14
Rh1 0.5000 0.5000 0.0000  8 Pr 3.10

Output
Total magnetization   0.000 μB per cell
DFT formation energy   -817 meV/atom

***

Material: Sr2Cr2Bi
Method: DFT, GGA-PBE
State: relaxed

abc: 7.5833 7.5833 4.8970
angles: 90.00 90.00 90.00
Last column: nearest neighbours and their distance in Å.
Sites, in units of the cell vectors:
Sr1 0.3082 0.1918 0.5000  6 Cr 3.32-3.44, 4 Bi 3.68
Sr2 0.8082 0.3082 0.5000  6 Cr 3.32-3.44, 4 Bi 3.68
Sr3 0.6918 0.8082 0.5000  6 Cr 3.32-3.44, 4 Bi 3.68
Sr4 0.1918 0.6918 0.5000  6 Cr 3.32-3.44, 4 Bi 3.68
Bi1 0.0000 0.0000 0.0000  4 Cr 3.22
Bi2 0.5000 0.5000 0.0000  4 Cr 3.22
Cr1 0.4169 0.9169 0.0000  1 Cr 1.78
Cr2 0.0831 0.4169 0.0000  1 Cr 1.78
Cr3 0.5831 0.0831 0.0000  1 Cr 1.78
Cr4 0.9169 0.5831 0.0000  1 Cr 1.78

Output
Total magnetization   0.000 μB per cell
Excess energy over the best structure of this formula in the dataset   0.00 eV per formula unit
DFT formation energy   349 meV/atom

***

Material: Ir2OsPdRh
Method: DFT, GGA-PBE
State: relaxed

abc: 4.6130 4.7384 4.6130
angles: 90.00 90.00 90.00
Last column: nearest neighbours and their distance in Å.
Sites, in units of the cell vectors:
Pd1 0.0000 0.5000 0.0000  2 Rh 2.37
Rh1 0.0000 0.0000 0.0000  4 Ir 2.31, 2 Pd 2.37
Ir1 0.0000 0.0000 0.5000  2 Rh 2.31
Ir2 0.5000 0.0000 0.0000  2 Rh 2.31
Os1 0.5000 0.5000 0.5000  4 Pd 3.26, 8 Ir 3.31

Output
Total magnetization   2.844 μB per cell
DFT formation energy   2299 meV/atom

***

Material: Ho3S4
Method: DFT, GGA-PBE
State: relaxed

abc: 3.9249 6.8493 7.3945
angles: 115.36 105.39 90.00
Last column: nearest neighbours and their distance in Å.
Sites, in units of the cell vectors:
S1 0.3617 0.9978 0.7235  5 Ho 2.75-2.81
S2 0.6383 0.0022 0.2765  5 Ho 2.75-2.81
S3 0.1246 0.4386 0.2491  4 Ho 2.69-2.77
S4 0.8754 0.5614 0.7509  4 Ho 2.69-2.77
Ho1 0.0000 0.0000 0.0000  6 S 2.73-2.78
Ho2 0.2721 0.2794 0.5442  6 S 2.69-2.81
Ho3 0.7279 0.7206 0.4558  6 S 2.69-2.81

Output
Uncorrected formation energy   -14.111 eV/f.u.
Total magnetization   0.000 μB per cell
Excess energy over the best structure of this formula in the dataset   0.37 eV per formula unit

***

Material: MgRe3Ge
Method: DFT, GGA-PBE
State: relaxed

abc: 4.5047 4.5047 4.5047
angles: 90.00 90.00 90.00
Last column: nearest neighbours and their distance in Å.
Sites, in units of the cell vectors:
Re1 0.0000 0.5000 0.0000  2 Mg 2.25
Re2 0.0000 0.0000 0.5000  2 Mg 2.25
Re3 0.5000 0.0000 0.0000  2 Mg 2.25
Ge1 0.5000 0.5000 0.5000  12 Re 3.19
Mg1 0.0000 0.0000 0.0000  6 Re 2.25

Output
Total magnetization   0.000 μB per cell
Excess energy over the best structure of this formula in the dataset   5.08 eV per formula unit
DFT formation energy   2590 meV/atom

***

Material: ZrInNi2
Method: DFT, GGA-PBE
State: relaxed

abc: 4.0262 3.4664 5.0612
angles: 69.98 90.00 90.00
Last column: nearest neighbours and their distance in Å.
Sites, in units of the cell vectors:
In1 0.5000 0.7719 0.8317  7 Ni 2.64-2.75
Ni1 0.5000 0.0495 0.2759  2 Ni 2.46, 3 In 2.64-2.73, 4 Zr 2.73-2.74
Ni2 0.0000 0.1977 0.9796  2 Ni 2.46, 3 Zr 2.69-2.70, 4 In 2.75
Zr1 0.0000 0.4809 0.4128  7 Ni 2.69-2.74

Output
Total magnetization   0.000 μB per cell
DFT formation energy   -299 meV/atom

***

Material: H3I
Method: DFT, GGA-PBE
State: relaxed

abc: 3.7061 3.7061 3.7280
angles: 109.46 109.46 109.26
Last column: nearest neighbours and their distance in Å.
Sites, in units of the cell vectors:
I1 0.0000 0.0000 0.5000  6 H 2.15
H1 0.5000 0.5000 0.5000  2 I 2.15, 4 H 2.15
H2 0.5000 0.0000 0.0000  4 H 2.15, 2 I 2.15
H3 0.0000 0.5000 0.0000  4 H 2.15, 2 I 2.15

Output
E_tot   -1.9281 eV/atom
Total magnetization   0.000 μB per cell

***

Material: NaCuBr2F
Method: DFT, GGA-PBE
State: relaxed

abc: 5.1613 5.1613 3.9206
angles: 90.00 90.00 90.00
Last column: nearest neighbours and their distance in Å.
Sites, in units of the cell vectors:
F1 0.0000 0.0000 0.5000  2 Cu 1.96
Br1 0.5000 0.0000 0.0000  2 Cu 2.58
Br2 0.0000 0.5000 0.0000  2 Cu 2.58
Cu1 0.0000 0.0000 0.0000  2 F 1.96
Na1 0.5000 0.5000 0.5000  8 Br 3.24

Output
Uncorrected formation energy   -5.585 eV/f.u.
Total magnetization   0.000 μB per cell

***

Material: TaTcP2
Method: DFT, GGA-PBE
State: relaxed

abc: 4.2882 4.2882 4.2882
angles: 60.00 60.00 60.00
Last column: nearest neighbours and their distance in Å.
Sites, in units of the cell vectors:
Tc1 0.0000 0.0000 0.0000  8 P 2.63
P1 0.2500 0.2500 0.2500  4 Ta 2.63, 4 Tc 2.63
P2 0.7500 0.7500 0.7500  4 Ta 2.63, 4 Tc 2.63
Ta1 0.5000 0.5000 0.5000  8 P 2.63

Output
Total magnetization   0.000 μB per cell
Excess energy over the best structure of this formula in the dataset   1.18 eV per formula unit
DFT formation energy   -363 meV/atom

***

Material: Pr12NdDy2
Method: DFT, GGA-PBE
State: relaxed

abc: 6.9111 6.9111 25.2798
angles: 90.00 90.00 63.45
Last column: nearest neighbours and their distance in Å.
Sites, in units of the cell vectors:
Pr1 0.5000 0.5000 0.6752  3 Pr 3.17-3.45
Pr2 0.0000 0.0000 0.6752  3 Pr 3.17-3.45
Pr3 0.2702 0.2298 0.5847  7 Pr 3.34-3.73
Pr4 0.2477 0.2523 0.8683  8 Pr 3.40-3.77, 1 Nd 3.75
Pr5 0.0000 0.0000 0.1995  3 Pr 3.17-3.40
Pr6 0.0000 0.0000 0.3248  3 Pr 3.17-3.45
Pr7 0.2298 0.2702 0.4153  7 Pr 3.34-3.73
Pr8 0.7531 0.2531 0.0744  2 Nd 3.48-3.50, 9 Pr 3.64-3.77
Pr9 0.5000 0.5000 0.8005  3 Pr 3.17-3.40
Pr10 0.7748 0.2748 0.5600  5 Pr 3.09-3.45
Pr11 0.7702 0.7298 0.4153  7 Pr 3.34-3.73
Pr12 0.2469 0.7469 0.0744  2 Nd 3.48-3.50, 9 Pr 3.64-3.77
Pr13 0.7298 0.7702 0.5847  7 Pr 3.34-3.73
Pr14 0.7477 0.7523 0.1317  8 Pr 3.40-3.77, 1 Nd 3.75
Pr15 0.5000 0.5000 0.3248  3 Pr 3.17-3.45
Pr16 0.5000 0.5000 0.1995  3 Pr 3.17-3.40
Pr17 0.0000 0.0000 0.8005  3 Pr 3.17-3.40
Pr18 0.7523 0.7477 0.8683  8 Pr 3.40-3.77, 1 Nd 3.75
Pr19 0.2252 0.7252 0.5600  5 Pr 3.09-3.45
Pr20 0.2531 0.7531 0.9256  2 Nd 3.48-3.50, 9 Pr 3.64-3.77
Pr21 0.2523 0.2477 0.1317  8 Pr 3.40-3.77, 1 Nd 3.75
Pr22 0.2748 0.7748 0.4400  5 Pr 3.09-3.45
Pr23 0.7252 0.2252 0.4400  5 Pr 3.09-3.45
Pr24 0.7469 0.2469 0.9256  2 Nd 3.48-3.50, 9 Pr 3.64-3.77
Dy1 0.0000 0.5000 0.7283  2 Dy 3.64, 10 Pr 3.71-3.97
Dy2 0.5000 0.0000 0.7322  2 Dy 3.64, 10 Pr 3.74-3.90
Dy3 0.0000 0.5000 0.2678  2 Dy 3.64, 10 Pr 3.74-3.90
Dy4 0.5000 0.0000 0.2717  2 Dy 3.64, 10 Pr 3.71-3.97
Nd1 0.0000 0.5000 0.9985  8 Pr 3.48-3.83, 2 Nd 3.64
Nd2 0.5000 0.0000 0.0015  8 Pr 3.48-3.83, 2 Nd 3.64

Output
Total magnetization   0.000 μB per cell
DFT formation energy   150 meV/atom

***

Material: Al6ZnFe5
Method: DFT, GGA-PBE
State: relaxed

abc: 4.0711 6.4381 5.8955
angles: 90.00 90.00 71.57
Last column: nearest neighbours and their distance in Å.
Sites, in units of the cell vectors:
Zn1 0.0000 0.0000 0.0000  8 Al 2.58-2.62, 4 Fe 2.82
Al1 0.1745 0.6509 0.2575  7 Fe 2.45-2.57, 1 Zn 2.62, 2 Al 2.75
Al2 0.8255 0.3491 0.7425  7 Fe 2.45-2.57, 1 Zn 2.62, 2 Al 2.75
Al3 0.1745 0.6509 0.7425  7 Fe 2.45-2.57, 1 Zn 2.62, 2 Al 2.75
Al4 0.5000 0.0000 0.7321  6 Fe 2.41-2.51, 2 Zn 2.58
Al5 0.8255 0.3491 0.2575  7 Fe 2.45-2.57, 1 Zn 2.62, 2 Al 2.75
Al6 0.5000 0.0000 0.2679  6 Fe 2.41-2.51, 2 Zn 2.58
Fe1 0.3400 0.3200 0.0000  8 Al 2.51-2.55
Fe2 0.0000 0.0000 0.5000  8 Al 2.45-2.57
Fe3 0.6600 0.6800 0.0000  8 Al 2.51-2.55
Fe4 0.6624 0.6753 0.5000  8 Al 2.41-2.49
Fe5 0.3376 0.3247 0.5000  8 Al 2.41-2.49

Output
Total magnetization   1.020 μB per cell
DFT formation energy   -275 meV/atom

***

Material: Sm2ErZn2Ge2
Method: DFT, GGA-PBE
State: relaxed

abc: 4.1527 4.1527 11.4873
angles: 79.59 79.59 60.00
Last column: nearest neighbours and their distance in Å.
Sites, in units of the cell vectors:
Er1 0.0000 0.0000 0.0000  6 Ge 3.08, 6 Zn 3.18
Zn1 0.6045 0.6045 0.1865  3 Ge 2.40
Zn2 0.3955 0.3955 0.8135  3 Ge 2.40
Ge1 0.2761 0.2761 0.1717  3 Zn 2.40
Ge2 0.7239 0.7239 0.8283  3 Zn 2.40
Sm1 0.1214 0.1214 0.6359  3 Zn 3.12, 3 Ge 3.23
Sm2 0.8786 0.8786 0.3641  3 Zn 3.12, 3 Ge 3.23

Output
Total magnetization   0.720 μB per cell
DFT formation energy   -455 meV/atom

***

Material: La6NiRh2I3
Method: DFT, GGA-PBE
State: relaxed

abc: 7.3290 7.3290 8.6254
angles: 98.15 98.15 120.00
Last column: nearest neighbours and their distance in Å.
Sites, in units of the cell vectors:
La1 0.0617 0.3938 0.1850  1 Ni 2.88, 2 Rh 2.89
La2 0.9383 0.6062 0.8150  1 Ni 2.88, 2 Rh 2.89
La3 0.3938 0.0617 0.1850  1 Ni 2.88, 2 Rh 2.89
La4 0.2703 0.2703 0.8149  1 Ni 2.88, 2 Rh 2.89
La5 0.6062 0.9383 0.8150  1 Ni 2.88, 2 Rh 2.89
La6 0.7297 0.7297 0.1851  1 Ni 2.88, 2 Rh 2.89
I1 0.1669 0.8331 0.5000  6 La 3.57-3.58
I2 0.5000 0.5000 0.5000  6 La 3.57-3.58
I3 0.8331 0.1669 0.5000  6 La 3.57-3.58
Ni1 0.0000 0.0000 0.0000  6 La 2.88
Rh1 0.3334 0.6666 0.0000  6 La 2.89
Rh2 0.6666 0.3334 0.0000  6 La 2.89

Output
Uncorrected formation energy   -11.410 eV/f.u.
Total magnetization   0.005 μB per cell

***

Material: LiCuSb3
Method: DFT, GGA-PBE
State: relaxed

abc: 5.1619 5.1619 5.1619
angles: 90.00 90.00 90.00
Last column: nearest neighbours and their distance in Å.
Sites, in units of the cell vectors:
Cu1 0.0000 0.0000 0.0000  6 Sb 2.58
Sb1 0.0000 0.0000 0.5000  2 Cu 2.58
Sb2 0.0000 0.5000 0.0000  2 Cu 2.58
Sb3 0.5000 0.0000 0.0000  2 Cu 2.58
Li1 0.5000 0.5000 0.5000  12 Sb 3.65

Output
Uncorrected formation energy   1.372 eV/f.u.
Total magnetization   0.000 μB per cell
Excess energy over the best structure of this formula in the dataset   0.00 eV per formula unit

***

Material: CeSmDy2Er4
Method: DFT, GGA-PBE
State: relaxed

abc: 5.0159 5.0064 11.1198
angles: 63.26 90.00 90.00
Last column: nearest neighbours and their distance in Å.
Sites, in units of the cell vectors:
Sm1 0.5000 0.5000 0.0000  8 Er 3.54-3.55, 4 Dy 3.54
Er1 0.5000 0.2531 0.7474  4 Dy 3.51-3.55, 2 Ce 3.51, 2 Sm 3.54-3.55, 4 Er 3.54
Er2 0.5000 0.7469 0.2526  4 Dy 3.51-3.55, 2 Ce 3.51, 2 Sm 3.54-3.55, 4 Er 3.54
Er3 0.0000 0.2472 0.2524  2 Ce 3.51, 4 Dy 3.51-3.54, 4 Er 3.54, 2 Sm 3.55
Er4 0.0000 0.7528 0.7476  2 Ce 3.51, 4 Dy 3.51-3.54, 4 Er 3.54, 2 Sm 3.55
Dy1 0.0000 0.0000 0.0000  8 Er 3.54-3.55, 4 Sm 3.54
Dy2 0.5000 0.0000 0.5000  8 Er 3.51, 4 Ce 3.54
Ce1 0.0000 0.5000 0.5000  8 Er 3.51, 4 Dy 3.54

Output
Total magnetization   0.932 μB per cell
DFT formation energy   45 meV/atom